VASP calculation (PBE) on a relaxed structure of PmDy2ThBi5.

Formation energy from the elements (eV/f.u.): 1.794

abc: 5.714 5.714 12.059
angles: 90.00 90.00 90.00
Fractional positions:
Bi  0.000  0.500  0.500
Dy  0.500  0.500  0.265
Bi  0.500  0.000  0.500
Bi  0.500  0.500  0.000
Bi  0.000  0.000  0.244
Bi  0.000  0.000  0.756
Pm  0.000  0.000  0.000
Dy  0.500  0.500  0.735
Th  0.000  0.000  0.500